## Nd6In2HN (GGA-PBE)

Data for an optimized crystal structure of Nd6In2HN.

The structure in POSCAR format:
```
Nd6In2HN
1.0
-3.5554 3.5554 5.0220
3.5554 -3.5554 5.0220
3.5554 3.5554 -5.0220
Nd In H N
6 2 1 1
direct
0.2443 0.2443 0.0000
0.2436 0.2436 0.4873
0.2436 0.7564 0.0000
0.7564 0.2436 0.0000
0.7557 0.7557 0.0000
0.7564 0.7564 0.5127
0.2500 0.7500 0.5000
0.7500 0.2500 0.5000
0.5000 0.5000 0.0000
0.0000 0.0000 0.0000
```

Properties
VASP energy = -0.1910 hartree per atom
spin magnetization = 0.0 μB per cell
space group = No. 139


## Ac3Pr12Tl (GGA-PBE)

Data for an optimized crystal structure of Ac3Pr12Tl.

The structure in POSCAR format:
```
Ac3Pr12Tl
1.0
6.1785 0.0000 0.0000
0.0000 6.1785 0.0000
0.0000 0.0000 15.3210
Ac Pr Tl
3 12 1
direct
0.0000 0.0000 0.0000
0.0000 0.0000 0.2539
0.0000 0.0000 0.7461
0.0000 0.5000 0.1248
0.0000 0.5000 0.3874
0.0000 0.5000 0.6126
0.0000 0.5000 0.8752
0.5000 0.0000 0.1248
0.5000 0.0000 0.3874
0.5000 0.0000 0.6126
0.5000 0.0000 0.8752
0.5000 0.5000 0.0000
0.5000 0.5000 0.2497
0.5000 0.5000 0.5000
0.5000 0.5000 0.7503
0.0000 0.0000 0.5000
```

Properties
spin magnetization = 0.0 μB per cell
E_form = 54 meV per atom
space group = No. 123


## CeThMo (GGA-PBE)

Data for an optimized crystal structure of CeThMo.

The structure in POSCAR format:
```
CeThMo
1.0
-1.7731 1.7731 5.6372
1.7731 -1.7731 5.6372
1.7731 1.7731 -5.6372
Ce Th Mo
1 1 1
direct
0.0000 0.0000 0.0000
0.3105 0.3105 0.0000
0.6550 0.6550 0.0000
```

Properties
spin magnetization = 0.0 μB per cell
E_form = 130 meV per atom
space group = No. 107


## Ho2F5 (GGA-PBE)

Data for an optimized crystal structure of Ho2F5.

The structure in POSCAR format:
```
Ho2F5
1.0
6.2546 -2.5573 0.0000
6.2546 2.5573 0.0000
-1.2925 0.0000 5.9090
Ho F
4 10
direct
0.1255 0.6459 0.9000
0.3541 0.8745 0.6000
0.6459 0.1255 0.4000
0.8745 0.3541 0.1000
0.0806 0.9194 0.2500
0.1683 0.2670 0.8547
0.2670 0.1683 0.3547
0.2852 0.5692 0.5638
0.4308 0.7148 0.9362
0.5692 0.2852 0.0638
0.7148 0.4308 0.4362
0.7330 0.8317 0.6453
0.8317 0.7330 0.1453
0.9194 0.0806 0.7500
```

Properties
spin magnetization = 1.7 μB per cell
space group = No. 15
energy relative to the elements, uncorrected = -3.69 eV/atom


## LiBe2Al (GGA-PBE)

Data for an optimized crystal structure of LiBe2Al.

The structure in POSCAR format:
```
LiBe2Al
1.0
4.5031 -1.2734 0.0000
4.5031 1.2734 0.0000
-1.5767 0.0000 4.0936
Li Be Al
1 2 1
direct
0.0000 0.0000 0.0000
0.2346 0.2346 0.8249
0.5390 0.5390 0.5305
0.7857 0.7857 0.3663
```

Properties
spin magnetization = 0.0 μB per cell
E_form = 163 meV per atom
space group = No. 8


## TaReW2 (GGA-PBE)

Data for an optimized crystal structure of TaReW2.

The structure in POSCAR format:
```
TaReW2
1.0
0.0000 3.1925 3.1925
3.1925 0.0000 3.1925
3.1925 3.1925 0.0000
Ta Re W
1 1 2
direct
0.0000 0.0000 0.0000
0.2500 0.2500 0.2500
0.5000 0.5000 0.5000
0.7500 0.7500 0.7500
```

Properties
spin magnetization = 0.0 μB per cell
E_form = -147 meV per atom
space group = No. 216


## MnH3Ir (GGA-PBE)

Data for an optimized crystal structure of MnH3Ir.

The structure in POSCAR format:
```
MnH3Ir
1.0
3.2890 0.0000 0.0000
0.0000 3.2890 0.0000
0.0000 0.0000 3.2890
Mn H Ir
1 3 1
direct
0.0000 0.0000 0.0000
0.0000 0.0000 0.5000
0.0000 0.5000 0.0000
0.5000 0.0000 0.0000
0.5000 0.5000 0.5000
```

Properties
VASP energy = -0.1884 hartree per atom
spin magnetization = 1.7 μB per cell
space group = No. 221


## Be4CoRh5 (GGA-PBE)

Data for an optimized crystal structure of Be4CoRh5.

The structure in POSCAR format:
```
Be4CoRh5
1.0
2.7878 0.0000 0.0000
0.0000 2.7878 0.0000
0.0000 0.0000 14.4386
Be Co Rh
4 1 5
direct
0.0000 0.0000 0.0962
0.0000 0.0000 0.2862
0.0000 0.0000 0.7138
0.0000 0.0000 0.9038
0.0000 0.0000 0.5000
0.5000 0.5000 0.0000
0.5000 0.5000 0.1924
0.5000 0.5000 0.3848
0.5000 0.5000 0.6152
0.5000 0.5000 0.8076
```

Properties
spin magnetization = 3.0 μB per cell
E_form = -475 meV per atom
space group = No. 123


## Hf5Sc (GGA-PBE)

Data for an optimized crystal structure of Hf5Sc.

The structure in POSCAR format:
```
Hf5Sc
1.0
5.7663 -1.6017 0.0000
5.7663 1.6017 0.0000
-1.7292 0.0000 7.3156
Hf Sc
5 1
direct
0.0000 0.0000 0.0000
0.0549 0.0549 0.6115
0.3338 0.3338 0.6662
0.3926 0.3926 0.2806
0.6687 0.6687 0.3361
0.7243 0.7243 0.9479
```

Properties
spin magnetization = 0.0 μB per cell
E_form = -9 meV per atom
space group = No. 8


## RbNbC3 (GGA-PBE)

Data for an optimized crystal structure of RbNbC3.

The structure in POSCAR format:
```
RbNbC3
1.0
4.3571 0.0000 0.0000
0.0000 4.3571 0.0000
0.0000 0.0000 4.3571
Rb Nb C
1 1 3
direct
0.0000 0.0000 0.0000
0.5000 0.5000 0.5000
0.0000 0.5000 0.5000
0.5000 0.0000 0.5000
0.5000 0.5000 0.0000
```

Properties
spin magnetization = 0.0 μB per cell
E_form = 1644 meV per atom
space group = No. 221


## La8PmNd5 (GGA-PBE)

Data for an optimized crystal structure of La8PmNd5.

The structure in POSCAR format:
```
La8PmNd5
1.0
-4.9485 4.9485 5.2534
4.9485 -4.9485 5.2534
4.9485 4.9485 -5.2534
La Pm Nd
8 1 5
direct
0.1817 0.4170 0.6108
0.3234 0.2217 0.2426
0.4291 0.8183 0.2353
0.5830 0.1938 0.7647
0.7783 0.0209 0.1017
0.8062 0.5709 0.3892
0.9192 0.6766 0.8983
0.9791 0.0808 0.7574
0.5000 0.5000 0.0000
0.0731 0.4714 0.1901
0.1170 0.9269 0.3983
0.2813 0.8830 0.8099
0.5286 0.7187 0.6017
0.7500 0.2500 0.5000
```

Properties
spin magnetization = 0.0 μB per cell
E_form = 206 meV per atom
space group = No. 82


## LiEr2TmCd4 (GGA-PBE)

Data for an optimized crystal structure of LiEr2TmCd4.

The structure in POSCAR format:
```
LiEr2TmCd4
1.0
2.5768 1.4877 8.4238
-2.5768 1.4877 8.4238
0.0000 -2.9754 8.4238
Li Er Tm Cd
1 2 1 4
direct
0.0000 0.0000 0.0000
0.2508 0.2508 0.2508
0.7492 0.7492 0.7492
0.5000 0.5000 0.5000
0.1213 0.1213 0.1213
0.3733 0.3733 0.3733
0.6267 0.6267 0.6267
0.8787 0.8787 0.8787
```

Properties
spin magnetization = 0.0 μB per cell
E_form = -279 meV per atom
space group = No. 166